This record from OQMD describes a geometry-optimized HfZr2Nb2 structure. The functional is PBE-GGA.

spin magnetization: 0.001 μB/atom
formation energy from the elements: 464 meV per atom
raw total energy: -8.98 eV per atom

Cell: 7.185 7.185 7.185 Å, 146.63 146.63 47.92°
Element x y z (fractional)
Hf1 0.000 0.000 0.000
Nb1 0.408 0.408 0.000
Nb2 0.592 0.592 0.000
Zr1 0.750 0.250 0.500
Zr2 0.250 0.750 0.500

This record from OQMD describes a geometry-optimized HfZr2Nb structure. The functional is PBE-GGA.

spin magnetization: 0.004 μB/atom
formation energy from the elements: 120 meV per atom
raw total energy: -9.17 eV per atom

Cell: 4.933 4.933 4.933 Å, 60.00 60.00 60.00°
Element x y z (fractional)
Hf1 0.500 0.500 0.500
Nb1 0.750 0.750 0.750
Zr1 0.000 0.000 0.000
Zr2 0.250 0.250 0.250

This record from OQMD describes a geometry-optimized NdHf structure. The functional is PBE-GGA.

spin magnetization: 0.012 μB/atom
formation energy from the elements: 2167 meV per atom
raw total energy: -5.19 eV per atom
energy above the lowest structure with this stoichiometry: 3.75 eV/f.u.

Cell: 4.699 4.699 4.699 Å, 60.00 60.00 60.00°
Element x y z (fractional)
Hf1 0.000 0.000 0.000
Nd1 0.250 0.250 0.250

This record from OQMD describes a geometry-optimized NdHf structure. The functional is PBE-GGA.

spin magnetization: 0.012 μB/atom
formation energy from the elements: 1089 meV per atom
raw total energy: -6.27 eV per atom
energy above the lowest structure with this stoichiometry: 1.60 eV/f.u.

Cell: 4.376 4.376 4.376 Å, 60.00 60.00 60.00°
Element x y z (fractional)
Hf1 0.000 0.000 0.000
Nd1 0.500 0.500 0.500

This record from OQMD describes a geometry-optimized NdHf structure. The functional is PBE-GGA.

spin magnetization: 0.004 μB/atom
formation energy from the elements: 290 meV per atom
raw total energy: -7.07 eV per atom
energy above the lowest structure with this stoichiometry: 0.00 eV/f.u.

Cell: 3.386 3.386 5.529 Å, 90.00 90.00 120.00°
Element x y z (fractional)
Hf1 0.667 0.333 0.750
Nd1 0.333 0.667 0.250

This record from OQMD describes a geometry-optimized NdHfNi2 structure. The functional is PBE-GGA.

spin magnetization: 0.000 μB/atom
formation energy from the elements: -314 meV per atom
raw total energy: -6.78 eV per atom

Cell: 4.257 5.361 5.361 Å, 37.91 90.00 90.00°
Element x y z (fractional)
Hf1 0.000 0.631 0.631
Nd1 0.500 0.354 0.354
Ni1 0.500 0.084 0.084
Ni2 0.000 0.931 0.931

This record from OQMD describes a geometry-optimized Nd2HfO4 structure. The functional is PBE-GGA.

spin magnetization: 0.000 μB/atom
raw total energy: -8.59 eV per atom

Cell: 6.831 6.831 6.831 Å, 119.99 90.01 119.99°
Element x y z (fractional)
Hf1 0.000 0.000 0.000
Hf2 0.750 0.500 0.250
Nd1 0.375 0.750 0.125
Nd2 0.375 0.750 0.625
Nd3 0.375 0.250 0.625
Nd4 0.875 0.250 0.625
O1 0.118 0.235 0.353
O2 0.103 0.735 0.368
O3 0.632 0.265 0.368
O4 0.632 0.735 0.368
O5 0.118 0.765 0.882
O6 0.118 0.235 0.882
O7 0.647 0.765 0.882
O8 0.632 0.265 0.897

This record from OQMD describes a geometry-optimized NdHfOs structure. The functional is PBE-GGA.

spin magnetization: 0.001 μB/atom
formation energy from the elements: 1159 meV per atom
raw total energy: -7.49 eV per atom
energy above the lowest structure with this stoichiometry: 2.14 eV/f.u.

Cell: 4.656 4.656 4.656 Å, 60.00 60.00 60.00°
Element x y z (fractional)
Hf1 0.250 0.250 0.250
Nd1 0.000 0.000 0.000
Os1 0.750 0.750 0.750

This record from OQMD describes a geometry-optimized NdHfOs structure. The functional is PBE-GGA.

spin magnetization: 0.001 μB/atom
formation energy from the elements: 445 meV per atom
raw total energy: -8.20 eV per atom
energy above the lowest structure with this stoichiometry: 0.00 eV/f.u.

Cell: 7.578 7.578 4.483 Å, 90.00 90.00 120.00°
Element x y z (fractional)
Hf1 0.450 0.000 0.000
Hf2 0.000 0.450 0.000
Hf3 0.550 0.550 0.000
Nd1 0.000 0.000 0.000
Nd2 0.667 0.333 0.500
Nd3 0.333 0.667 0.500
Os1 0.251 0.000 0.500
Os2 0.000 0.251 0.500
Os3 0.749 0.749 0.500

This record from OQMD describes a geometry-optimized PrNdHf structure. The functional is PBE-GGA.

spin magnetization: 0.509 μB/atom
formation energy from the elements: 826 meV per atom
raw total energy: -5.67 eV per atom
energy above the lowest structure with this stoichiometry: 0.00 eV/f.u.

Cell: 5.301 5.301 5.301 Å, 60.00 60.00 60.00°
Element x y z (fractional)
Hf1 0.000 0.000 0.000
Nd1 0.250 0.250 0.250
Pr1 0.750 0.750 0.750

This record from OQMD describes a geometry-optimized PrNd6Hf2 structure. The functional is PBE-GGA.

spin magnetization: 0.173 μB/atom
formation energy from the elements: 614 meV per atom
raw total energy: -5.30 eV per atom

Cell: 7.440 7.440 7.440 Å, 60.20 60.20 60.20°
Each line ends with the local moment (μB).
Element x y z (fractional)
Hf1 0.250 0.250 0.250  0.14
Hf2 0.750 0.750 0.750  0.14
Nd1 0.725 0.274 0.274  0.06
Nd2 0.274 0.725 0.274  0.09
Nd3 0.726 0.726 0.275  0.06
Nd4 0.274 0.274 0.725  0.06
Nd5 0.726 0.275 0.726  0.09
Nd6 0.275 0.726 0.726  0.06
Pr1 0.000 0.000 0.000  0.32

This record from OQMD describes a geometry-optimized NdHfPt structure. The functional is PBE-GGA.

spin magnetization: 0.002 μB/atom
formation energy from the elements: -434 meV per atom
raw total energy: -7.36 eV per atom
energy above the lowest structure with this stoichiometry: 1.24 eV/f.u.

Cell: 4.785 4.785 4.785 Å, 60.00 60.00 60.00°
Element x y z (fractional)
Hf1 0.250 0.250 0.250
Nd1 0.750 0.750 0.750
Pt1 0.000 0.000 0.000

- Which value of spin magnetization does entry 10 give?
  0.509 μB/atom

- Which formula does entry 5 have?
  NdHf

- Look up the raw total energy of the third one.
  -5.19 eV per atom

- spin magnetization of number 6 (NdHfNi2)?
  0.000 μB/atom